Below is an optimized crystal structure of ZnHN3, with properties calculated at the PBE-GGA level.

Output
magnetic moment	0.0	μB per cell
DFT total energy	-3.615	eV per atom
DOS(E_F)	2.2	states/eV/f.u.

Cell: 3.3350 3.3350 3.3350 Å, 90.00 90.00 90.00°
Closest atoms and distances in Å follow each position.
Space group Pm-3m (No. 221)
Inequivalent atoms, fractional coordinates:
Zn 0.0000 0.0000 0.0000  12 N 2.36
H 0.5000 0.5000 0.5000  6 N 1.67
N 0.0000 0.5000 0.5000  2 H 1.67